Compound: BaAcCuAg
Source: Alexandria
Functional: PBE
Structure: optimized geometry

The structure belongs to space group F-43m (No. 216); the cell edges are 7.9213, 7.9213 and 7.9213 Å and the angles 90.00°, 90.00° and 90.00°. The asymmetric unit holds Ba at (0.0000, 0.0000, 0.0000), Ac at (0.0000, 0.0000, 0.5000), Cu at (0.2500, 0.2500, 0.2500) and Ag at (0.2500, 0.2500, 0.7500).

The value obtained for the volume is 31.06 Å³ per atom. Its crystal system is cubic. For the total DFT energy (no corrections), the calculation gives -0.1214 hartree per atom. As for the formation energy from the elements: -0.06 eV/atom.